No. 1
This record from Alexandria describes a geometry-optimized Ba2CaSb structure. The functional is PBE.

Values from the calculation:
Formation energy from raw total energies   -439.3 meV per atom

Cell and atoms, written as POSCAR:
```
Ba2CaSb
1.0
-2.4296 2.8201 6.1327
2.4296 -2.8201 6.1327
2.4296 2.8201 -6.1327
Ba Ca Sb
2 1 1
Cartesian
0.0000 0.0000 2.5895
0.0000 0.0000 9.6760
0.0000 2.8201 0.0000
2.4296 0.0000 0.0000
```



No. 2
This record from Alexandria describes a geometry-optimized TaAl2W structure. The functional is PBE.

Values from the calculation:
Calculated formation energy   0.072 eV per atom

Cell and atoms, written as POSCAR:
```
TaAl2W
1.0
1.4320 0.8267 9.4061
-1.4320 0.8267 9.4061
0.0000 -1.6535 9.4061
Ta Al W
1 2 1
Cartesian
0.0000 0.0000 0.0000
0.0000 0.0000 14.0744
0.0000 0.0000 21.1638
0.0000 0.0000 6.8949
```